Zr2CdHPt | PBE | relaxed

Values from the calculation:
Symmetry: P4/mmm, No. 123
Energy relative to the lowest polymorph listed for this composition in eV per formula unit: 0.00

The structure in extended XYZ format:
```
5
Lattice="4.4558 0.0000 0.0000 0.0000 4.4558 0.0000 0.0000 0.0000 4.1059" Properties=species:S:1:pos:R:3 pbc="T T T"
Zr 2.2279 0.0000 0.0000
Zr 0.0000 2.2279 0.0000
Pt 0.0000 0.0000 2.0529
Cd 2.2279 2.2279 2.0529
H 0.0000 0.0000 0.0000
```


Zr2CdHPt | PBE | relaxed

Values from the calculation:
Symmetry: P4/mmm, No. 123
Energy relative to the lowest polymorph listed for this composition in eV per formula unit: 0.10

The structure in extended XYZ format:
```
5
Lattice="-1.5304 3.8924 -0.9187 -1.0635 -1.3443 -3.9241 -3.9694 -1.2090 1.4899" Properties=species:S:1:pos:R:3 pbc="T T T"
Pt -3.2816 0.6695 -1.6764
Zr -0.7652 1.9462 -0.4593
Zr -0.5317 -0.6722 -1.9621
H 0.0000 0.0000 0.0000
Cd -1.9847 -0.6045 0.7450
```


Pu3CdH | PBE | relaxed

Values from the calculation:
Symmetry: Pm-3m, No. 221
E in eV per atom: -9.4887

The structure in extended XYZ format:
```
5
Lattice="4.8196 0.0000 0.0000 0.0000 4.8196 0.0000 0.0000 0.0000 4.8196" Properties=species:S:1:pos:R:3 pbc="T T T"
Cd 2.4098 2.4098 2.4098
H 0.0000 0.0000 0.0000
Pu 2.4098 0.0000 0.0000
Pu 0.0000 2.4098 0.0000
Pu 0.0000 0.0000 2.4098
```


Pu3Cd5H12 | PBE | relaxed

Values from the calculation:
Symmetry: Ia-3d, No. 230
E in eV per atom: -4.3526

The structure in extended XYZ format:
```
80
Lattice="-4.3511 -9.0322 4.3572 10.8472 -0.1670 1.3442 -4.1522 8.8073 4.9687" Properties=species:S:1:pos:R:3 pbc="T T T"
H 0.7965 6.6564 4.8618
H 5.0648 -3.3351 3.3054
H 3.7124 5.8711 4.7588
H -2.7209 2.9432 7.3647
H 5.5346 3.3782 6.6155
H -3.1907 -3.7701 4.0545
H -2.8661 4.8307 4.5579
H 2.5252 -2.4815 2.5387
H 6.0680 -7.0733 5.0661
H -3.7241 6.6814 5.6039
H -1.3685 -6.2630 5.9112
H 3.4427 -0.5839 1.6374
H 2.6322 -3.4627 7.8200
H 5.0040 -1.8629 5.7501
H -0.1034 4.7581 5.7793
H -2.8578 -0.9919 6.2088
H 5.2099 -5.2227 6.1121
H 2.5839 0.5444 6.9364
H -2.5138 -0.8891 3.4453
H 5.9847 -1.4488 2.3831
H 2.3146 3.4702 4.9777
H -1.8466 -6.1808 3.6707
H 8.8772 0.3101 2.3430
H -3.6409 1.0568 8.2870
H 0.5901 1.2321 1.8000
H 2.9276 0.6233 4.1721
H -0.2400 -0.9363 3.7336
H 5.2017 0.6000 4.4612
H 8.0015 2.1615 3.3729
H -2.6923 -3.8403 6.2910
H -0.3837 1.4364 5.1882
H 1.5473 -7.0483 5.8082
H 0.0293 -3.8621 5.6924
H -0.4688 -3.7680 3.4567
H 2.4472 -5.1500 4.8907
H 1.7538 -1.6240 8.8700
H -0.5838 -1.0152 6.4979
H 2.7276 -1.8283 5.4819
H 4.8576 0.4972 7.2247
H -5.6576 -2.5534 7.2972
H -0.1813 2.0896 8.1313
H -0.2884 3.0708 2.8500
H -1.0989 0.1920 9.0327
H 2.8127 3.3761 7.2134
H 5.0362 3.4484 4.3790
H 4.1904 5.7889 6.9993
H -6.5334 -0.7020 8.3271
H -2.6602 1.4709 4.9200
Cd -4.2517 -0.1124 4.6629
Cd 0.3848 3.1839 4.6988
Cd 3.2480 -4.5996 2.8507
Cd 1.7828 1.9360 8.0790
Cd -3.6906 -2.4404 7.2540
Cd 1.9591 -3.5758 5.9712
Cd -0.1419 -1.4021 8.3792
Cd 5.4236 -0.0835 0.6721
Cd 6.0344 2.0484 3.4161
Cd 0.0000 0.0000 0.0000
Cd -2.1756 -4.5161 2.1786
Cd 0.5611 -2.3279 2.5911
Cd 7.8845 -1.3033 2.8865
Cd -3.3899 3.1975 5.5285
Cd 2.4858 1.0102 2.2909
Cd 3.3475 4.3201 3.1564
Cd -5.5407 0.9114 7.7835
Cd -2.0761 4.4036 2.4844
Cd 1.1719 -0.1960 5.3350
Cd 5.7338 -3.5894 5.1416
Pu 3.6328 -1.4157 7.5495
Pu -1.5647 -2.3841 4.9225
Pu 0.2853 -5.7358 4.3930
Pu -1.7659 0.8977 6.9538
Pu 5.8333 5.3303 5.4473
Pu 3.9086 1.9922 5.7475
Pu -1.2890 1.0238 3.1206
Pu -3.4894 -5.7222 5.2227
Pu -1.4653 6.5356 5.2283
Pu 4.1098 -1.2896 3.7162
Pu 2.0585 5.3439 6.2770
Pu 3.8091 -6.9275 5.4417
```


Pu2CdH | PBE | relaxed

Values from the calculation:
Symmetry: P4/mmm, No. 123
Energy relative to the lowest polymorph listed for this composition in eV per formula unit: 0.00

The structure in extended XYZ format:
```
4
Lattice="-2.2357 1.4218 1.5810 -1.6129 0.3607 -2.6053 -3.6957 -7.2406 1.2855" Properties=species:S:1:pos:R:3 pbc="T T T"
H -1.9243 0.8913 -0.5122
Pu -2.9875 -5.8530 1.0392
Pu -0.7082 -1.3875 0.2464
Cd -3.7722 -2.7290 0.1306
```


PuCdH3 | PBE | relaxed

Values from the calculation:
Symmetry: Pm-3m, No. 221
E in eV per atom: -5.0052

The structure in extended XYZ format:
```
5
Lattice="4.1441 0.0000 0.0000 0.0000 4.1441 0.0000 0.0000 0.0000 4.1441" Properties=species:S:1:pos:R:3 pbc="T T T"
Cd 2.0720 2.0720 2.0720
H 0.0000 0.0000 2.0720
H 2.0720 0.0000 0.0000
H 0.0000 2.0720 0.0000
Pu 0.0000 0.0000 0.0000
```


Pu2CdH | PBE | relaxed

Values from the calculation:
Symmetry: R-3m, No. 166
Energy relative to the lowest polymorph listed for this composition in eV per formula unit: 0.87

The structure in extended XYZ format:
```
4
Lattice="3.7384 0.0000 0.0000 1.8692 3.2376 0.0000 1.8692 1.0792 5.7911" Properties=species:S:1:pos:R:3 pbc="T T T"
Pu 1.8692 1.0792 0.5218
Pu 5.6076 3.2376 5.2692
Cd 3.7384 2.1584 2.8955
H 0.0000 0.0000 0.0000
```


Pu2CdH12Rh3 | PBE | relaxed

Values from the calculation:
Symmetry: R-3m, No. 166
E in eV per atom: -5.2536

The structure in extended XYZ format:
```
18
Lattice="-3.7952 -1.6860 4.3381 -2.9203 -5.1719 -0.8880 1.7339 -4.6450 3.3886" Properties=species:S:1:pos:R:3 pbc="T T T"
Pu -3.0301 -6.9969 4.1598
Pu -1.9514 -4.5060 2.6789
H -1.3291 -6.8993 2.2966
H -5.0969 -7.8736 4.3986
H -2.3751 -2.2965 2.8678
H -4.3213 -5.2980 2.8104
H -1.8026 -5.0128 5.1247
H -3.1789 -6.4901 1.7140
H -0.6602 -6.2050 4.0283
H -1.9810 -3.8667 0.5139
H 0.1154 -3.6293 2.4402
H -2.6064 -9.2064 3.9709
H -3.0005 -7.6363 6.3249
H -3.6524 -4.6037 4.5421
Cd 0.0000 0.0000 0.0000
Rh -1.4601 -2.5860 -0.4440
Rh -1.8976 -0.8430 2.1690
Rh 0.8670 -2.3225 1.6943
```


PuCdH8Rh2 | PBE | relaxed

Values from the calculation:
Symmetry: R-3, No. 148
E in eV per atom: -4.7918

The structure in extended XYZ format:
```
12
Lattice="-0.2706 0.6430 4.8597 2.3608 -3.0699 3.0175 5.1912 2.4674 2.4425" Properties=species:S:1:pos:R:3 pbc="T T T"
H 5.7064 0.5079 6.0313
H 5.4003 0.8095 3.9168
H 2.5563 0.5466 2.5499
H 4.4838 2.1464 5.3411
H 1.8812 -0.7690 6.4029
H 4.7252 -0.5061 7.7698
H 2.7977 -2.1059 4.9786
H 1.5751 -0.4674 4.2884
Pu 3.6407 0.0202 5.1599
Rh 6.1061 0.5005 7.7135
Rh 1.1754 -0.4600 2.6062
Cd 0.0000 0.0000 0.0000
```


PuCdSnH | PBE | relaxed

Values from the calculation:
Symmetry: P4/nmm, No. 129
E in eV per atom: -5.9397

The structure in extended XYZ format:
```
8
Lattice="4.3417 0.0000 0.0000 0.0000 4.3417 0.0000 0.0000 0.0000 8.2765" Properties=species:S:1:pos:R:3 pbc="T T T"
Pu 2.1709 0.0000 1.0160
Pu 0.0000 2.1709 7.2606
Sn 2.1709 0.0000 6.1243
Sn 0.0000 2.1709 2.1522
Cd 0.0000 0.0000 4.1383
Cd 2.1709 2.1709 4.1383
H 2.1709 2.1709 0.0000
H 0.0000 0.0000 0.0000
```


Rb2Cd4H | PBE | relaxed

Values from the calculation:
Symmetry: I4/mmm, No. 139
E in eV per atom: -1.1754

The structure in extended XYZ format:
```
7
Lattice="-4.2088 -0.3996 -3.1536 2.8209 -2.8819 -3.3996 -3.1668 -9.0638 0.9643" Properties=species:S:1:pos:R:3 pbc="T T T"
Cd 1.4104 -1.4409 -1.6998
Cd -1.9505 -4.9700 -5.5885
Cd -2.6043 -7.3753 -0.0004
Cd -2.1044 -0.1998 -1.5768
H 0.0000 0.0000 0.0000
Rb -3.0297 -8.2098 -3.7376
Rb -1.5251 -4.1355 -1.8513
```


Rb2CdH4 | PBE | relaxed

Values from the calculation:
Symmetry: P2_1/m, No. 11
E in eV per atom: -2.4706

The structure in extended XYZ format:
```
14
Lattice="-5.3879 2.1309 -2.5252 1.6356 -2.4647 -5.5697 -1.5058 -7.6351 2.9366" Properties=species:S:1:pos:R:3 pbc="T T T"
H -5.5745 -3.7297 -1.7716
H -3.9285 -4.4593 0.7004
H -1.3297 -3.5096 -5.8587
H -2.0928 -2.3597 -3.2600
H 0.3164 -4.2392 -3.3866
H -1.1131 -9.0516 -1.6768
H -4.1450 1.0827 -3.4815
H -3.1653 -5.6093 -1.8983
Rb -2.6665 -7.4302 0.7198
Rb -3.9336 -4.4685 -4.5332
Rb -1.3245 -3.5004 -0.6251
Rb -2.5916 -0.5388 -5.8781
Cd -4.6178 -5.0479 -0.9074
Cd -0.6403 -2.9210 -4.2509
```


Rb2CdH3 | PBE | relaxed

Values from the calculation:
Symmetry: P-3m1, No. 164
E in eV per atom: -2.1992

The structure in extended XYZ format:
```
12
Lattice="6.3337 0.0000 0.0000 -3.1668 5.4851 0.0000 0.0000 0.0000 8.7719" Properties=species:S:1:pos:R:3 pbc="T T T"
H 3.1668 3.5772 6.3984
H 1.5145 4.5311 2.3735
H 1.6524 0.9540 6.3984
H 4.6813 0.9540 6.3984
H -1.5145 4.5311 2.3735
H 0.0000 1.9080 2.3735
Rb 0.0000 0.0000 4.3859
Rb 3.1668 1.8284 2.3076
Rb 0.0000 0.0000 0.0000
Rb 0.0000 3.6568 6.4643
Cd 3.1668 1.8284 6.9675
Cd 0.0000 3.6568 1.8044
```


Rb3Cd2H8 | PBE | relaxed

Values from the calculation:
Symmetry: R-3m, No. 166
E in eV per atom: -2.3850

The structure in extended XYZ format:
```
13
Lattice="6.2171 0.0000 0.0000 3.1085 5.3841 0.0000 3.1085 1.7947 7.3072" Properties=species:S:1:pos:R:3 pbc="T T T"
Cd 6.2171 3.5894 5.2980
Cd 6.2171 3.5894 2.0092
H 6.2171 5.3863 5.0059
H 7.7732 4.4879 2.3013
H 6.2171 1.7925 2.3013
H 4.6609 4.4879 2.3013
H 4.6609 2.6910 5.0059
H 6.2171 3.5894 7.1403
H 7.7732 2.6910 5.0059
H 6.2171 3.5894 0.1669
Rb 0.0000 0.0000 0.0000
Rb 3.1085 1.7947 2.7061
Rb 9.3256 5.3841 4.6011
```


RbCdH2 | PBE | relaxed

Values from the calculation:
Symmetry: P4/mmm, No. 123
Energy relative to the lowest polymorph listed for this composition in eV per formula unit: 1.86

The structure in extended XYZ format:
```
4
Lattice="-2.6158 1.6649 -1.0738 -0.5571 -2.3249 -2.2477 -3.8404 -3.2511 4.3145" Properties=species:S:1:pos:R:3 pbc="T T T"
Cd -1.5864 -0.3300 -1.6607
H -3.0348 -2.5691 3.4095
H -0.8056 -0.6820 0.9050
Rb -3.5066 -1.9555 0.4965
```


Rb3CdH5 | PBE | relaxed

Values from the calculation:
Symmetry: I4/mcm, No. 140
E in eV per atom: -2.4587

The structure in extended XYZ format:
```
18
Lattice="7.9754 0.0000 0.0000 0.0000 7.9754 0.0000 -3.9877 -3.9877 6.0854" Properties=species:S:1:pos:R:3 pbc="T T T"
Rb 3.9877 3.9877 3.0427
Rb 2.5442 6.5319 0.0000
Rb 6.5318 5.4312 0.0000
Rb 5.4312 1.4435 0.0000
Rb 0.0000 0.0000 3.0427
Rb 1.4435 2.5442 0.0000
H 1.0390 2.9487 4.1550
H -1.0390 5.0267 4.1550
H 2.9487 1.0390 1.9303
H 1.0390 5.0267 1.9303
H 2.9487 -1.0390 4.1550
H 3.9877 3.9877 0.0000
H 0.0000 0.0000 0.0000
H -1.0390 2.9487 1.9303
H 5.0267 -1.0390 1.9303
H 5.0267 1.0390 4.1550
Cd 3.9877 0.0000 3.0427
Cd 0.0000 3.9877 3.0427
```


Rb2CdH2 | PBE | relaxed

Values from the calculation:
Symmetry: P4/mbm, No. 127
Energy relative to the lowest polymorph listed for this composition in eV per formula unit: 0.00

The structure in extended XYZ format:
```
10
Lattice="8.2899 0.0000 0.0000 0.0000 8.2899 0.0000 0.0000 0.0000 3.7666" Properties=species:S:1:pos:R:3 pbc="T T T"
Rb 7.0354 2.8904 1.8833
Rb 5.3994 7.0354 1.8833
Rb 2.8904 1.2545 1.8833
Rb 1.2545 5.3994 1.8833
H 5.4047 1.2598 0.0000
H 2.8852 7.0301 0.0000
H 7.0301 5.4047 0.0000
H 1.2598 2.8852 0.0000
Cd 0.0000 0.0000 0.0000
Cd 4.1449 4.1449 0.0000
```


RbCdH2 | PBE | relaxed

Values from the calculation:
Symmetry: R-3m, No. 166
Energy relative to the lowest polymorph listed for this composition in eV per formula unit: 1.11

The structure in extended XYZ format:
```
4
Lattice="-0.2585 2.6560 2.7690 -3.2554 1.9968 0.4511 -3.1391 -2.4918 4.7674" Properties=species:S:1:pos:R:3 pbc="T T T"
H -1.8165 0.2254 2.2846
H -4.8366 1.9356 5.7029
Rb 0.0000 0.0000 0.0000
Cd -3.3266 1.0805 3.9938
```


Rb3Cd2H6 | PBE | relaxed

Values from the calculation:
Symmetry: I4/mmm, No. 139
E in eV per atom: -2.3088

The structure in extended XYZ format:
```
11
Lattice="-3.7139 0.5423 -1.9932 1.9645 -0.3406 -3.7530 -0.8565 -11.4882 3.0004" Properties=species:S:1:pos:R:3 pbc="T T T"
Cd -1.3808 -9.0821 0.1015
Cd -1.2252 -2.2043 -2.8473
H -2.1675 -1.7716 -0.9738
H -1.0791 -7.0980 0.0793
H -0.4384 -9.5148 -1.7720
H 0.6717 -2.2131 -1.8537
H -1.5268 -4.1884 -2.8252
H -3.2776 -9.0734 -0.8921
Rb 0.0000 0.0000 0.0000
Rb -0.6297 -4.1418 0.0463
Rb -1.9763 -7.1446 -2.7921
```